VASP calculation (PBE) on an optimized crystal structure of Li3GaHg2.

a b c (Å): 3.1451 3.1451 10.6465
angles (deg): 90.00 90.00 90.00
Fractional positions:
1 Li 0.0000 0.0000 0.0000
2 Li 0.0000 0.0000 0.6598
3 Li 0.0000 0.0000 0.3402
4 Ga 0.5000 0.5000 0.5000
5 Hg 0.5000 0.5000 0.8287
6 Hg 0.5000 0.5000 0.1713

* E_tot: -1.890 eV per atom
* calculated volume: 105 Å³ per cell
* calculated formation energy: -2.0 eV per formula unit
* total magnetization: 0.00 μB per cell



VASP calculation (PBE) on an optimized crystal structure of BaSc2VTc.

a b c (Å): 5.2253 4.8186 5.2253
angles (deg): 90.00 90.00 90.00
Fractional positions:
1 Sc 0.0000 0.0000 0.5000
2 Sc 0.5000 0.0000 0.0000
3 V 0.0000 0.5000 0.0000
4 Ba 0.5000 0.5000 0.5000
5 Tc 0.0000 0.0000 0.0000

* E_tot: -6.490 eV per atom
* calculated volume: 132 Å³ per cell
* calculated formation energy: 1.6 eV per formula unit
* total magnetization: 1.89 μB per cell



VASP calculation (PBE) on an optimized crystal structure of NdY2Ru.

a b c (Å): 3.9105 6.4392 9.2859
angles (deg): 90.00 90.00 107.69
Fractional positions:
1 Nd 0.4239 0.8481 0.2500
2 Nd 0.5761 0.1519 0.7500
3 Y 0.1450 0.2900 0.4302
4 Y 0.8550 0.7100 0.5698
5 Y 0.8550 0.7100 0.9302
6 Y 0.1450 0.2900 0.0698
7 Ru 0.7563 0.5129 0.2500
8 Ru 0.2437 0.4871 0.7500

* E_tot: -6.993 eV per atom
* calculated volume: 223 Å³ per cell
* calculated formation energy: -1.0 eV per formula unit
* total magnetization: 0.00 μB per cell



VASP calculation (PBE) on an optimized crystal structure of Tl3Cr2InSe6.

a b c (Å): 6.7753 6.7753 7.9074
angles (deg): 98.18 98.18 119.97
Fractional positions:
1 Tl 0.1588 0.8412 0.5000
2 Tl 0.8412 0.1588 0.5000
3 Tl 0.5000 0.5000 0.5000
4 Cr 0.3331 0.6669 0.0000
5 Cr 0.6669 0.3331 0.0000
6 In 0.0000 0.0000 0.0000
7 Se 0.9379 0.5825 0.8130
8 Se 0.7053 0.7053 0.1794
9 Se 0.0621 0.4175 0.1870
10 Se 0.5825 0.9379 0.8130
11 Se 0.2947 0.2947 0.8206
12 Se 0.4175 0.0621 0.1870

* E_tot: -4.643 eV per atom
* energy relative to the elements, uncorrected: -477 meV per atom
* calculated volume: 301 Å³ per cell
* total magnetization: 6.07 μB per cell



VASP calculation (PBE) on an optimized crystal structure of SiPC.

a b c (Å): 3.1669 4.7535 8.0501
angles (deg): 65.69 53.87 90.03
Fractional positions:
1 C 0.1359 0.2256 0.1354
2 C 0.9508 0.8863 0.9253
3 Si 0.6473 0.4563 0.1279
4 Si 0.4891 0.0899 0.8999
5 P 0.6735 0.8490 0.4440
6 P 0.1202 0.5022 0.4794

* E_tot: -6.476 eV per atom
* energy relative to the elements, uncorrected: 209 meV per atom
* calculated volume: 84 Å³ per cell
* total magnetization: 0.00 μB per cell



VASP calculation (PBE) on an optimized crystal structure of ZrSi3Sn.

a b c (Å): 5.0893 5.0893 5.0893
angles (deg): 90.00 90.00 90.00
Fractional positions:
1 Si 0.0000 0.5000 0.0000
2 Si 0.0000 0.0000 0.5000
3 Si 0.5000 0.0000 0.0000
4 Sn 0.5000 0.5000 0.5000
5 Zr 0.0000 0.0000 0.0000

* E_tot: -5.041 eV per atom
* energy relative to the elements, uncorrected: 723 meV per atom
* calculated volume: 132 Å³ per cell
* total magnetization: 0.00 μB per cell